No. 1
A plane-wave DFT calculation with meta-GGA SCAN was carried out for a crystal of YScTe relaxed with PBEsol.

Cell and atoms, written as extended XYZ:
```
3
Lattice="4.9225 0.0000 0.0000 2.4612 4.2630 0.0000 2.4612 1.4210 4.0192" Properties=species:S:1:pos:R:3 pbc="T T T"
Sc 7.3837 4.2630 3.0144
Y 4.9225 2.8420 2.0096
Te 0.0000 0.0000 0.0000
```

Raw formation energy ... -0.45 eV per formula unit
Density of states at the Fermi level ... 0.689 states/eV/atom

=====

No. 2
A plane-wave DFT calculation with meta-GGA SCAN was carried out for a crystal of BaSc relaxed with PBEsol.

Cell and atoms, written as extended XYZ:
```
4
Lattice="-0.7012 3.0021 -2.2909 -3.8838 -0.4254 0.6314 0.9553 4.6309 8.9959" Properties=species:S:1:pos:R:3 pbc="T T T"
Ba -1.2139 2.4864 0.4100
Ba -2.4159 4.7212 6.9264
Sc -0.9756 4.9038 3.5049
Sc -2.6542 2.3038 3.8315
```

Formation energy ... 290 meV per atom
Density of states at the Fermi level ... 1.539 states/eV/atom

=====

No. 3
A plane-wave DFT calculation with meta-GGA SCAN was carried out for a crystal of LiZrPb2 relaxed with PBEsol.

Cell and atoms, written as extended XYZ:
```
4
Lattice="4.0320 0.0000 0.0000 0.0000 4.7137 0.0000 0.0000 0.0000 4.7137" Properties=species:S:1:pos:R:3 pbc="T T T"
Pb 0.0000 0.0000 2.3569
Pb 0.0000 2.3569 0.0000
Li 2.0160 0.0000 0.0000
Zr 2.0160 2.3569 2.3569
```

Formation energy ... -296 meV per atom
Density of states at the Fermi level ... 0.554 states/eV/atom

=====

No. 4
A plane-wave DFT calculation with meta-GGA SCAN was carried out for a crystal of SrTc2Rh relaxed with PBEsol.

Cell and atoms, written as extended XYZ:
```
4
Lattice="-1.0819 -0.4677 2.5523 4.5181 -0.5931 1.8065 -0.6085 5.4551 -0.8065" Properties=species:S:1:pos:R:3 pbc="T T T"
Rh 2.2591 -0.2965 0.9033
Tc 0.7815 2.7659 0.8382
Tc 2.0462 1.6283 2.7141
Sr -0.5410 -0.2339 1.2761
```

Formation energy ... 511 meV per atom
Density of states at the Fermi level ... 1.064 states/eV/atom

=====

No. 5
A plane-wave DFT calculation with meta-GGA SCAN was carried out for a crystal of Li3CaPd relaxed with PBEsol.

Cell and atoms, written as extended XYZ:
```
5
Lattice="4.7763 0.0000 0.0000 0.0000 4.7763 0.0000 0.0000 0.0000 4.7763" Properties=species:S:1:pos:R:3 pbc="T T T"
Li 0.0000 0.0000 2.3882
Li 2.3882 0.0000 0.0000
Li 0.0000 2.3882 0.0000
Pd 0.0000 0.0000 0.0000
Ca 2.3882 2.3882 2.3882
```

Formation energy ... -163 meV per atom
Density of states at the Fermi level ... 0.411 states/eV/atom

=====

No. 6
A plane-wave DFT calculation with meta-GGA SCAN was carried out for a crystal of TaIrPt2 relaxed with PBEsol.

Cell and atoms, written as extended XYZ:
```
4
Lattice="-2.8000 -1.0283 -2.5604 2.5817 -2.2635 -1.9142 -0.8618 -1.3908 4.5187" Properties=species:S:1:pos:R:3 pbc="T T T"
Pt -1.8855 -2.0325 -0.1395
Pt -0.1091 -1.6459 -2.2373
Ta 0.0000 0.0000 0.0000
Ir 0.8054 -2.6501 0.1836
```

Formation energy ... -707 meV per atom
Density of states at the Fermi level ... 0.646 states/eV/atom